Record 1
Density functional theory data (GGA-PBE) for a geometry-optimized ReTc2Os structure.

Calculated values
Polymorph energy (0 for the lowest one) in meV per atom: 464

Cell: 4.3777 4.3777 4.3777 Å, 60.00 60.00 60.00°
Sites, in units of the cell vectors:
Re1 0.0000 0.0000 0.0000
Tc1 0.2500 0.2500 0.2500
Tc2 0.7500 0.7500 0.7500
Os1 0.5000 0.5000 0.5000

***

Record 2
Density functional theory data (GGA-PBE) for a geometry-optimized ReTc2Os structure.

Calculated values
Polymorph energy (0 for the lowest one) in meV per atom: 100

Cell: 4.7539 4.7539 4.7539 Å, 131.78 131.78 70.57°
Sites, in units of the cell vectors:
Re1 0.0000 0.0000 0.0000
Tc1 0.2500 0.7500 0.5000
Tc2 0.5000 0.5000 0.0000
Os1 0.7500 0.2500 0.5000

***

Record 3
Density functional theory data (GGA-PBE) for a geometry-optimized ReTc2Os structure.

Calculated values
Polymorph energy (0 for the lowest one) in meV per atom: 49

Cell: 2.7572 2.7572 9.0157 Å, 98.86 98.86 60.04°
Sites, in units of the cell vectors:
Re1 0.0000 0.0000 0.0000
Tc1 0.4179 0.4179 0.2498
Tc2 0.5824 0.5824 0.7421
Os1 0.8343 0.8343 0.5020

***

Record 4
Density functional theory data (GGA-PBE) for a geometry-optimized Re3Tc4Os structure.

Calculated values
Uncorrected energy in eV for the cell shown: -90.3

Cell: 5.2165 5.2165 5.5430 Å, 105.38 105.38 54.54°
Sites, in units of the cell vectors:
Re1 0.0000 0.0000 0.0000
Re2 0.4122 0.0857 0.8739
Re3 0.9143 0.5878 0.1261
Tc1 0.4164 0.0815 0.3748
Tc2 0.4993 0.4980 0.2508
Tc3 0.5020 0.5007 0.7492
Tc4 0.9185 0.5836 0.6252
Os1 0.9981 0.0019 0.5000

***

Record 5
Density functional theory data (GGA-PBE) for a geometry-optimized ReTcOs2 structure.

Calculated values
Polymorph energy (0 for the lowest one) in meV per atom: 155

Cell: 9.1374 9.1374 9.1374 Å, 17.21 17.21 17.21°
Sites, in units of the cell vectors:
Re1 0.0000 0.0000 0.0000
Tc1 0.5000 0.5000 0.5000
Os1 0.2498 0.2498 0.2498
Os2 0.7502 0.7502 0.7502

***

Record 6
Density functional theory data (GGA-PBE) for a geometry-optimized ReTc2Os structure.

Calculated values
Polymorph energy (0 for the lowest one) in meV per atom: 110

Cell: 9.1396 9.1396 9.1396 Å, 17.24 17.24 17.24°
Sites, in units of the cell vectors:
Re1 0.0000 0.0000 0.0000
Tc1 0.2499 0.2499 0.2499
Tc2 0.7501 0.7501 0.7501
Os1 0.5000 0.5000 0.5000

***

Record 7
Density functional theory data (GGA-PBE) for a geometry-optimized ReTcOs2 structure.

Calculated values
Polymorph energy (0 for the lowest one) in meV per atom: 135

Cell: 4.7509 4.7509 4.7509 Å, 131.91 131.91 70.37°
Sites, in units of the cell vectors:
Re1 0.0000 0.0000 0.0000
Tc1 0.5000 0.5000 0.0000
Os1 0.2500 0.7500 0.5000
Os2 0.7500 0.2500 0.5000

***

Record 8
Density functional theory data (GGA-PBE) for a geometry-optimized ReTcOs2 structure.

Calculated values
Polymorph energy (0 for the lowest one) in meV per atom: 142

Cell: 2.7368 3.8912 5.4692 Å, 90.00 90.00 90.00°
Sites, in units of the cell vectors:
Re1 0.0000 0.0000 0.0000
Tc1 0.0000 0.0000 0.5000
Os1 0.5000 0.5000 0.2518
Os2 0.5000 0.5000 0.7482